{
  "formula": "NaLiBeF4",
  "functional": "PBE",
  "state": "relaxed",
  "polymorph_energy_mev_per_atom": 11,
  "n_ef_per_ev_atom": 0.000,
  "mass_density_g_cm3": 2.05,
  "magmom_total_mub_per_cell": 0.12,
  "volume_a3_per_atom": 13.3,
  "e_form_raw_ev_per_atom": -3.063,
  "dft_energy_ha_per_atom": -0.188,
  "lattice": [[-2.463, -1.982, -3.892], [-3.426, -1.893, 3.133], [0.943, 5.041, 0.065]],
  "species": ["F", "F", "F", "F", "Na", "Be", "Li"],
  "frac_coords": [[0.921, 0.482, 0.261], [0.221, 0.079, 0.739], [0.518, 0.660, 0.739], [0.340, 0.779, 0.261], [0.000, 0.000, 0.000], [0.250, 0.750, 0.500], [0.500, 0.500, 0.000]]
}

=====

{
  "formula": "Na2LiBeF5",
  "functional": "PBE",
  "state": "relaxed",
  "n_ef_per_ev_atom": 0.000,
  "mass_density_g_cm3": 2.53,
  "magmom_total_mub_per_cell": 0.21,
  "volume_a3_per_atom": 11.5,
  "e_form_raw_ev_per_atom": -2.685,
  "dft_energy_ha_per_atom": -0.171,
  "lattice": [[-0.097, 4.522, 3.347], [0.819, -3.558, 4.831], [5.998, 0.570, -0.597]],
  "species": ["F", "F", "F", "F", "F", "F", "F", "F", "F", "F", "Li", "Li", "Be", "Be", "Na", "Na", "Na", "Na"],
  "frac_coords": [[0.202, 0.364, 0.136], [0.500, 0.000, 0.000], [0.500, 0.500, 0.500], [0.798, 0.636, 0.864], [0.202, 0.636, 0.864], [0.798, 0.136, 0.636], [0.202, 0.136, 0.636], [0.798, 0.364, 0.136], [0.798, 0.864, 0.364], [0.202, 0.864, 0.364], [0.000, 0.000, 0.000], [0.000, 0.500, 0.500], [0.000, 0.000, 0.500], [0.000, 0.500, 0.000], [0.500, 0.323, 0.823], [0.500, 0.677, 0.177], [0.500, 0.177, 0.323], [0.500, 0.823, 0.677]]
}

=====

{
  "formula": "Li2BeNbF",
  "functional": "PBE",
  "state": "relaxed",
  "n_ef_per_ev_atom": 0.491,
  "mass_density_g_cm3": 1.55,
  "magmom_total_mub_per_cell": 5.30,
  "volume_a3_per_atom": 28.8,
  "e_form_raw_ev_per_atom": 1.032,
  "dft_energy_ha_per_atom": -0.105,
  "lattice": [[-4.888, 1.270, 2.235], [-2.061, -3.366, -2.594], [0.896, -3.660, 4.038]],
  "species": ["F", "Nb", "Be", "Li", "Li"],
  "frac_coords": [[0.500, 0.500, 0.500], [0.000, 0.000, 0.000], [0.000, 0.500, 0.000], [0.500, 0.000, 0.000], [0.000, 0.000, 0.500]]
}

=====

{
  "formula": "LiBeO2F",
  "functional": "PBE",
  "state": "relaxed",
  "n_ef_per_ev_atom": 0.801,
  "mass_density_g_cm3": 2.47,
  "magmom_total_mub_per_cell": 2.00,
  "volume_a3_per_atom": 9.0,
  "e_form_raw_ev_per_atom": -0.398,
  "dft_energy_ha_per_atom": -0.143,
  "lattice": [[3.584, 0.000, 0.000], [0.000, 3.584, 0.000], [0.000, 0.000, 3.506]],
  "species": ["O", "O", "F", "Be", "Li"],
  "frac_coords": [[0.000, 0.500, 0.000], [0.500, 0.000, 0.000], [0.000, 0.000, 0.500], [0.500, 0.500, 0.500], [0.000, 0.000, 0.000]]
}

=====

{
  "formula": "Li2BeOF2",
  "functional": "PBE",
  "state": "relaxed",
  "n_ef_per_ev_atom": 0.000,
  "mass_density_g_cm3": 2.29,
  "magmom_total_mub_per_cell": 0.00,
  "volume_a3_per_atom": 9.3,
  "e_form_raw_ev_per_atom": -2.787,
  "dft_energy_ha_per_atom": -0.202,
  "lattice": [[-4.155, 2.021, -1.126], [-1.897, -4.696, -1.433], [-0.509, 1.668, 4.874]],
  "species": ["Li", "Li", "Li", "Li", "O", "O", "F", "F", "F", "F", "Be", "Be"],
  "frac_coords": [[0.693, 0.479, 0.313], [0.193, 0.834, 0.313], [0.193, 0.521, 0.687], [0.693, 0.166, 0.687], [0.847, 0.122, 0.000], [0.347, 0.878, 0.000], [0.782, 0.534, 0.706], [0.282, 0.466, 0.294], [0.782, 0.828, 0.294], [0.282, 0.172, 0.706], [0.675, 0.869, 0.000], [0.175, 0.131, 0.000]]
}

=====

{
  "formula": "LiBeOF2",
  "functional": "PBE",
  "state": "relaxed",
  "polymorph_energy_mev_per_atom": 0,
  "n_ef_per_ev_atom": 0.448,
  "mass_density_g_cm3": 2.64,
  "magmom_total_mub_per_cell": 1.00,
  "volume_a3_per_atom": 8.8,
  "e_form_raw_ev_per_atom": -2.115,
  "dft_energy_ha_per_atom": -0.183,
  "lattice": [[3.640, 0.000, 0.000], [0.000, 3.640, 0.000], [0.000, 0.000, 3.318]],
  "species": ["Be", "F", "F", "Li", "O"],
  "frac_coords": [[0.000, 0.000, 0.000], [0.500, 0.000, 0.000], [0.000, 0.500, 0.000], [0.500, 0.500, 0.500], [0.000, 0.000, 0.500]]
}

=====

{
  "formula": "LiBeO2F",
  "functional": "PBE",
  "state": "relaxed",
  "n_ef_per_ev_atom": 0.540,
  "mass_density_g_cm3": 2.32,
  "magmom_total_mub_per_cell": 0.52,
  "volume_a3_per_atom": 9.6,
  "e_form_raw_ev_per_atom": -1.537,
  "dft_energy_ha_per_atom": -0.185,
  "lattice": [[3.164, 0.000, 0.000], [0.000, 3.164, 0.000], [0.000, 0.000, 4.792]],
  "species": ["F", "O", "O", "Li", "Be"],
  "frac_coords": [[0.000, 0.000, 0.500], [0.500, 0.000, 0.000], [0.000, 0.500, 0.000], [0.500, 0.500, 0.500], [0.000, 0.000, 0.000]]
}

=====

{
  "formula": "LiBeOF2",
  "functional": "PBE",
  "state": "relaxed",
  "polymorph_energy_mev_per_atom": 1056,
  "n_ef_per_ev_atom": 0.115,
  "mass_density_g_cm3": 2.54,
  "magmom_total_mub_per_cell": 1.00,
  "volume_a3_per_atom": 9.1,
  "e_form_raw_ev_per_atom": -1.059,
  "dft_energy_ha_per_atom": -0.144,
  "lattice": [[3.422, 0.000, 0.000], [0.000, 3.422, 0.000], [0.000, 0.000, 3.901]],
  "species": ["Be", "F", "F", "Li", "O"],
  "frac_coords": [[0.500, 0.500, 0.500], [0.500, 0.000, 0.000], [0.000, 0.500, 0.000], [0.000, 0.000, 0.000], [0.000, 0.000, 0.500]]
}

=====

{
  "formula": "LiBePdF6",
  "functional": "PBE",
  "state": "relaxed",
  "n_ef_per_ev_atom": 0.691,
  "mass_density_g_cm3": 4.07,
  "magmom_total_mub_per_cell": 2.00,
  "volume_a3_per_atom": 10.7,
  "e_form_raw_ev_per_atom": -2.153,
  "dft_energy_ha_per_atom": -0.169,
  "lattice": [[4.992, 0.000, 0.000], [-2.496, 4.323, 0.000], [0.000, 0.000, 8.929]],
  "species": ["F", "F", "F", "F", "F", "F", "F", "F", "F", "F", "F", "F", "Li", "Li", "Pd", "Pd", "Be", "Be"],
  "frac_coords": [[0.671, 0.043, 0.364], [0.957, 0.329, 0.136], [0.043, 0.372, 0.636], [0.329, 0.372, 0.864], [0.671, 0.628, 0.136], [0.628, 0.957, 0.864], [0.957, 0.628, 0.364], [0.043, 0.671, 0.864], [0.372, 0.043, 0.136], [0.329, 0.957, 0.636], [0.372, 0.329, 0.364], [0.628, 0.671, 0.636], [0.000, 0.000, 0.500], [0.000, 0.000, 0.000], [0.333, 0.667, 0.250], [0.667, 0.333, 0.750], [0.667, 0.333, 0.250], [0.333, 0.667, 0.750]]
}

=====

{
  "formula": "RbLiBeF4",
  "functional": "PBE",
  "state": "relaxed",
  "n_ef_per_ev_atom": 0.000,
  "mass_density_g_cm3": 3.05,
  "magmom_total_mub_per_cell": 0.00,
  "volume_a3_per_atom": 13.8,
  "e_form_raw_ev_per_atom": -3.073,
  "dft_energy_ha_per_atom": -0.187,
  "lattice": [[4.771, 0.000, -0.293], [0.000, 5.564, 0.000], [-2.228, 0.000, 7.423]],
  "species": ["Rb", "Rb", "F", "F", "F", "F", "F", "F", "F", "F", "Li", "Li", "Be", "Be"],
  "frac_coords": [[0.409, 0.250, 0.144], [0.591, 0.750, 0.856], [0.976, 0.525, 0.317], [0.783, 0.250, 0.891], [0.217, 0.750, 0.109], [0.976, 0.975, 0.317], [0.537, 0.250, 0.540], [0.463, 0.750, 0.460], [0.024, 0.025, 0.683], [0.024, 0.475, 0.683], [0.132, 0.250, 0.493], [0.868, 0.750, 0.507], [0.167, 0.750, 0.296], [0.833, 0.250, 0.704]]
}

=====

{
  "formula": "RbLi2BeF6",
  "functional": "PBE",
  "state": "relaxed",
  "n_ef_per_ev_atom": 0.698,
  "mass_density_g_cm3": 2.66,
  "magmom_total_mub_per_cell": 2.07,
  "volume_a3_per_atom": 13.9,
  "e_form_raw_ev_per_atom": -2.679,
  "dft_energy_ha_per_atom": -0.171,
  "lattice": [[-4.564, 4.820, -0.913], [-5.552, -2.249, 3.191], [1.931, 5.017, 4.143]],
  "species": ["F", "F", "F", "F", "F", "F", "F", "F", "F", "F", "F", "F", "Be", "Be", "Li", "Li", "Li", "Li", "Rb", "Rb"],
  "frac_coords": [[0.961, 0.302, 0.453], [0.461, 0.453, 0.302], [0.539, 0.547, 0.698], [0.956, 0.627, 0.194], [0.544, 0.806, 0.373], [0.789, 0.021, 0.238], [0.711, 0.762, 0.979], [0.044, 0.373, 0.806], [0.456, 0.194, 0.627], [0.289, 0.238, 0.021], [0.211, 0.979, 0.762], [0.039, 0.698, 0.547], [0.750, 0.803, 0.197], [0.250, 0.197, 0.803], [0.346, 0.702, 0.563], [0.154, 0.437, 0.298], [0.846, 0.563, 0.702], [0.654, 0.298, 0.437], [0.750, 0.138, 0.862], [0.250, 0.862, 0.138]]
}

=====

{
  "formula": "Rb2LiBeF6",
  "functional": "PBE",
  "state": "relaxed",
  "n_ef_per_ev_atom": 1.104,
  "mass_density_g_cm3": 3.75,
  "magmom_total_mub_per_cell": 1.00,
  "volume_a3_per_atom": 13.3,
  "e_form_raw_ev_per_atom": -2.563,
  "dft_energy_ha_per_atom": -0.163,
  "lattice": [[-5.699, -0.451, -0.368], [0.561, -5.230, -2.269], [-2.681, -4.465, 2.398]],
  "species": ["F", "F", "F", "F", "F", "F", "Rb", "Rb", "Be", "Li"],
  "frac_coords": [[0.777, 0.777, 0.000], [0.778, 0.778, 0.444], [0.223, 0.777, 0.000], [0.777, 0.223, 0.000], [0.222, 0.222, 0.556], [0.223, 0.223, 0.000], [0.250, 0.750, 0.500], [0.750, 0.250, 0.500], [0.000, 0.000, 0.000], [0.500, 0.500, 0.000]]
}